(1)
VASP calculation (PBE) on a relaxed SmTlHgS3 crystal.

Computed properties:
As for the total energy: -101.75 eV/cell. The size of the total moment is 0.0 μB per formula unit. The value obtained for the excess energy over the best structure of this formula in the dataset is 0.021 eV/atom.

a = 12.0833 Å, b = 4.2179 Å, c = 12.4107 Å
α = 90.00°, β = 90.00°, γ = 90.00°
With the nearest neighbours (Å) after each atom.
Space group Pnma (No. 62)
Asymmetric unit:
Sm 0.0361 0.2500 0.1659 (multiplicity 4)  6 S 2.78-2.93
Tl 0.1516 0.2500 0.5211 (multiplicity 4)  3 S 3.02-3.05
Hg 0.2485 0.7500 0.3136 (multiplicity 4)  4 S 2.50-2.70
S 0.0379 0.7500 0.3203 (multiplicity 4)  1 Hg 2.55, 2 Sm 2.85
S 0.0871 0.2500 0.9352 (multiplicity 4)  1 Hg 2.50
S 0.2346 0.7500 0.6788 (multiplicity 4)  2 Hg 2.70, 1 Sm 2.78



(2)
VASP calculation (PBE) on a relaxed SmTlHgS3 crystal.

Computed properties:
As for the total energy: -101.19 eV/cell. The size of the total moment is 0.0 μB per formula unit. The value obtained for the excess energy over the best structure of this formula in the dataset is 0.044 eV/atom.

a = 17.1130 Å, b = 4.1460 Å, c = 9.2596 Å
α = 90.00°, β = 104.68°, γ = 90.00°
With the nearest neighbours (Å) after each atom.
Space group C2/m (No. 12)
Asymmetric unit:
Sm 0.1714 0.0000 0.0949 (multiplicity 4)  6 S 2.78-2.85
Tl 0.1380 0.0000 0.5669 (multiplicity 4)  5 S 3.09-3.40
Hg 0.0059 0.5000 0.2173 (multiplicity 4)  5 S 2.64-2.87
S 0.0000 0.0000 0.0000 (multiplicity 2)  2 Sm 2.84, 4 Hg 2.87
S 0.0000 0.5000 0.5000 (multiplicity 2)  2 Hg 2.65
S 0.1634 0.5000 0.8800 (multiplicity 4)  3 Sm 2.78-2.85, 1 Hg 2.81
S 0.1654 0.5000 0.2933 (multiplicity 4)  1 Hg 2.64, 2 Sm 2.79



(3)
VASP calculation (PBE) on a relaxed Sn3Hg3S2 crystal.

Computed properties:
As for the total energy: -43.01 eV/cell.

a = 3.6250 Å, b = 5.7981 Å, c = 21.0048 Å
α = 90.00°, β = 90.00°, γ = 90.00°
With the nearest neighbours (Å) after each atom.
Space group Immm (No. 71)
Asymmetric unit:
Sn 0.0000 0.0000 0.0000 (multiplicity 2)  2 S 2.77
Sn 0.0000 0.5000 0.2805 (multiplicity 4)  2 S 2.58
Hg 0.0000 0.0000 0.3594 (multiplicity 4)  1 Hg 2.95
Hg 0.0000 0.0000 0.5000 (multiplicity 2)  2 Hg 2.95
S 0.0000 0.0000 0.1319 (multiplicity 4)  3 Sn 2.58-2.77



(4)
VASP calculation (PBE) on a relaxed SnHg2S3 crystal.

Computed properties:
As for the total energy: -70.10 eV/cell.

a = 3.9617 Å, b = 15.5847 Å, c = 10.4418 Å
α = 90.00°, β = 90.00°, γ = 90.00°
With the nearest neighbours (Å) after each atom.
Space group Cmcm (No. 63)
Asymmetric unit:
Sn 0.0000 0.1714 0.2500 (multiplicity 4)  2 S 2.60
Hg 0.0000 0.1476 0.7500 (multiplicity 4)  2 S 2.39
Hg 0.0000 0.5000 0.0000 (multiplicity 4)  6 S 2.74-2.79
S 0.0000 0.1206 0.5249 (multiplicity 8)  1 Hg 2.39
S 0.0000 0.4367 0.7500 (multiplicity 4)  2 Sn 2.60, 2 Hg 2.79



(5)
VASP calculation (PBE) on a relaxed SrHgS2 crystal.

Computed properties:
As for the total energy: -59.03 eV/cell.

a = 4.0788 Å, b = 14.1376 Å, c = 7.2001 Å
α = 90.00°, β = 90.00°, γ = 90.00°
With the nearest neighbours (Å) after each atom.
Space group Pmc2_1 (No. 26)
Asymmetric unit:
Sr 0.0000 0.1023 0.0000 (multiplicity 2)  7 S 3.08-3.25
Sr 0.0000 0.3904 0.3231 (multiplicity 2)  7 S 3.10-3.23
Hg 0.5000 0.1430 0.4989 (multiplicity 2)  3 S 2.47-2.55
Hg 0.5000 0.3521 0.8394 (multiplicity 2)  2 S 2.39
S 0.0000 0.2304 0.6246 (multiplicity 2)  2 Hg 2.55
S 0.5000 0.0117 0.2716 (multiplicity 2)  1 Hg 2.47
S 0.5000 0.2593 0.1177 (multiplicity 2)  1 Hg 2.39
S 0.5000 0.4720 0.6050 (multiplicity 2)  1 Hg 2.39



(6)
VASP calculation (PBE) on a relaxed SrHg2S3 crystal.

Computed properties:
As for the total energy: -73.64 eV/cell.

a = 3.9836 Å, b = 13.5542 Å, c = 11.9442 Å
α = 90.00°, β = 90.00°, γ = 90.00°
With the nearest neighbours (Å) after each atom.
Space group Cmcm (No. 63)
Asymmetric unit:
Sr 0.0000 0.2146 0.2500 (multiplicity 4)  6 S 2.93-3.13
Hg 0.0000 0.0000 0.0000 (multiplicity 4)  4 S 2.72
Hg 0.0000 0.4921 0.2500 (multiplicity 4)  4 S 2.56-2.61
S 0.0000 0.1268 0.7500 (multiplicity 4)  2 Hg 2.56
S 0.0000 0.3846 0.5823 (multiplicity 8)  3 Hg 2.61-2.72



Please write out number 5 again, unchanged.
VASP calculation (PBE) on a relaxed SrHgS2 crystal.

Computed properties:
As for the total energy: -59.03 eV/cell.

a = 4.0788 Å, b = 14.1376 Å, c = 7.2001 Å
α = 90.00°, β = 90.00°, γ = 90.00°
With the nearest neighbours (Å) after each atom.
Space group Pmc2_1 (No. 26)
Asymmetric unit:
Sr 0.0000 0.1023 0.0000 (multiplicity 2)  7 S 3.08-3.25
Sr 0.0000 0.3904 0.3231 (multiplicity 2)  7 S 3.10-3.23
Hg 0.5000 0.1430 0.4989 (multiplicity 2)  3 S 2.47-2.55
Hg 0.5000 0.3521 0.8394 (multiplicity 2)  2 S 2.39
S 0.0000 0.2304 0.6246 (multiplicity 2)  2 Hg 2.55
S 0.5000 0.0117 0.2716 (multiplicity 2)  1 Hg 2.47
S 0.5000 0.2593 0.1177 (multiplicity 2)  1 Hg 2.39
S 0.5000 0.4720 0.6050 (multiplicity 2)  1 Hg 2.39